## Zr4Bi2CN (PBE)

Data for a relaxed structure of Zr4Bi2CN.

a = 3.492 Å, b = 3.492 Å, c = 14.139 Å
α = 90.00°, β = 90.00°, γ = 120.00°
Element x y z (fractional)
N (0.000, 0.000, 0.500)
Zr (0.667, 0.333, 0.579)
Bi (0.667, 0.333, 0.254)
Zr (0.667, 0.333, 0.916)
C (0.000, 0.000, 0.000)
Zr (0.333, 0.667, 0.084)
Zr (0.333, 0.667, 0.421)
Bi (0.333, 0.667, 0.746)

Results
Symmetry: P-3m1, No. 164
Magnetization, μB per atom: 0.00
Uncorrected energy, eV for the cell shown: -66.2

## ReBr (PBE)

Data for a relaxed structure of ReBr.

a = 2.974 Å, b = 2.974 Å, c = 4.446 Å
α = 90.00°, β = 90.00°, γ = 120.00°
Element x y z (fractional)
Re (0.333, 0.667, 0.250)
Br (0.667, 0.333, 0.750)

Results
Symmetry: P-6m2, No. 187
Magnetization, μB per atom: 0.01
Uncorrected energy, eV for the cell shown: -11.1

The lowest magnetization belongs to which entry? Zr4Bi2CN